Record 1
CoSiTe2N: relaxed, PBE.

Cell lengths 5.2956, 5.2956, 3.4026 Å; angles 90.00, 90.00, 90.00 degrees
Space group P4/mmm (No. 123)
One atom of each set of equivalent atoms:
1 Co 0.0000 0.0000 0.0000 (multiplicity 1)
2 Si 0.5000 0.5000 0.5000 (multiplicity 1)
3 Te 0.0000 0.5000 0.0000 (multiplicity 2)
4 N 0.0000 0.0000 0.5000 (multiplicity 1)

Output
E_tot = -4.978 eV/atom
mass density = 6.20 Mg/m³
crystal system = tetragonal
formation energy (no corrections) = 217 kJ/mol of formula units

Record 2
Zn2HgGe: relaxed, PBE.

Cell lengths 4.2756, 4.2756, 4.1229 Å; angles 90.00, 90.00, 90.00 degrees
Space group P4/mmm (No. 123)
One atom of each set of equivalent atoms:
1 Zn 0.0000 0.5000 0.0000 (multiplicity 2)
2 Hg 0.0000 0.0000 0.5000 (multiplicity 1)
3 Ge 0.5000 0.5000 0.5000 (multiplicity 1)

Output
E_tot = -1.668 eV/atom
mass density = 8.90 Mg/m³
crystal system = tetragonal
calculated formation energy = 0.80 eV per formula unit

Record 3
SrCd2Pd: relaxed, PBE.

Cell lengths 7.2593, 7.2593, 7.2593 Å; angles 90.00, 90.00, 90.00 degrees
Space group Fm-3m (No. 225)
One atom of each set of equivalent atoms:
1 Sr 0.0000 0.0000 0.0000 (multiplicity 4)
2 Cd 0.2500 0.2500 0.2500 (multiplicity 8)
3 Pd 0.0000 0.0000 0.5000 (multiplicity 4)

Output
E_tot = -2.436 eV/atom
mass density = 7.27 Mg/m³
crystal system = cubic
calculated formation energy = -1.04 eV per formula unit

Record 4
La8CdIr2: relaxed, PBE.

Cell lengths 8.8108, 14.2768, 5.8177 Å; angles 90.00, 104.10, 90.00 degrees
Space group C2/m (No. 12)
One atom of each set of equivalent atoms:
1 La 0.0000 0.2485 0.0000 (multiplicity 4)
2 La 0.0969 0.5000 0.8012 (multiplicity 4)
3 La 0.2108 0.1248 0.5566 (multiplicity 8)
4 Cd 0.0000 0.0000 0.0000 (multiplicity 2)
5 Ir 0.0000 0.2878 0.5000 (multiplicity 4)

Output
E_tot = -5.611 eV/atom
mass density = 7.52 Mg/m³
crystal system = monoclinic
calculated formation energy = -3.66 eV per formula unit

Record 5
LaTeF2: relaxed, PBE.

Cell lengths 3.5405, 3.5405, 31.3307 Å; angles 90.00, 90.00, 120.00 degrees
Space group R-3m (No. 166, hexagonal axes)
One atom of each set of equivalent atoms:
1 La 0.0000 0.0000 0.0000 (multiplicity 3)
2 Te 0.0000 0.0000 0.5000 (multiplicity 3)
3 F 0.0000 0.0000 0.0673 (multiplicity 6)

Output
E_tot = -4.610 eV/atom
mass density = 4.46 Mg/m³
crystal system = trigonal
formation energy (no corrections) = -639 kJ/mol of formula units

Record 6
HgMo2: relaxed, PBE.

Cell lengths 3.3323, 3.3323, 9.5389 Å; angles 90.00, 90.00, 90.00 degrees
Space group I4/mmm (No. 139)
One atom of each set of equivalent atoms:
1 Hg 0.0000 0.0000 0.0000 (multiplicity 2)
2 Mo 0.0000 0.0000 0.3126 (multiplicity 4)

Output
E_tot = -6.917 eV/atom
mass density = 12.31 Mg/m³
crystal system = tetragonal
calculated formation energy = 1.21 eV per formula unit

Record 7
Er3MgCd2: relaxed, PBE.

Cell lengths 5.2510, 15.8729, 3.7258 Å; angles 90.00, 90.00, 90.00 degrees
Space group Cmmm (No. 65)
One atom of each set of equivalent atoms:
1 Er 0.0000 0.0000 0.0000 (multiplicity 2)
2 Er 0.0000 0.3305 0.0000 (multiplicity 4)
3 Mg 0.0000 0.5000 0.5000 (multiplicity 2)
4 Cd 0.0000 0.1599 0.5000 (multiplicity 4)

Output
E_tot = -3.091 eV/atom
mass density = 8.03 Mg/m³
crystal system = orthorhombic
calculated formation energy = -1.43 eV per formula unit

Record 8
YV2GaCu: relaxed, PBE.

Cell lengths 4.7813, 4.7813, 4.4726 Å; angles 90.00, 90.00, 90.00 degrees
Space group P4/mmm (No. 123)
One atom of each set of equivalent atoms:
1 Y 0.0000 0.0000 0.0000 (multiplicity 1)
2 V 0.0000 0.5000 0.5000 (multiplicity 2)
3 Ga 0.5000 0.5000 0.5000 (multiplicity 1)
4 Cu 0.5000 0.5000 0.0000 (multiplicity 1)

Output
E_tot = -5.749 eV/atom
mass density = 5.26 Mg/m³
crystal system = tetragonal
calculated formation energy = 3.08 eV per formula unit

Record 9
BaCdPb: relaxed, PBE.

Cell lengths 5.3850, 8.8685, 8.6792 Å; angles 90.00, 90.00, 90.00 degrees
Space group Ima2 (No. 46)
One atom of each set of equivalent atoms:
1 Ba 0.2500 0.2032 0.0000 (multiplicity 4)
2 Cd 0.2500 0.5722 0.1828 (multiplicity 4)
3 Pb 0.2500 0.5981 0.8068 (multiplicity 4)

Output
E_tot = -2.617 eV/atom
mass density = 7.32 Mg/m³
crystal system = orthorhombic
calculated formation energy = -1.30 eV per formula unit

Record 10
SnTe5: relaxed, PBE.

Cell lengths 5.6261, 4.3528, 8.1055 Å; angles 90.00, 93.67, 90.00 degrees
Space group P2/m (No. 10)
One atom of each set of equivalent atoms:
1 Sn 0.0000 0.0000 0.0000 (multiplicity 1)
2 Te 0.0000 0.5000 0.5000 (multiplicity 1)
3 Te 0.2942 0.0000 0.3370 (multiplicity 2)
4 Te 0.3377 0.5000 0.8582 (multiplicity 2)

Output
E_tot = -3.338 eV/atom
mass density = 6.34 Mg/m³
crystal system = monoclinic
formation energy (no corrections) = -30 kJ/mol of formula units

Record 11
AcAlIr: relaxed, PBE.

Cell lengths 7.4852, 4.2478, 13.0875 Å; angles 90.00, 93.27, 90.00 degrees
Space group P2_1/m (No. 11)
One atom of each set of equivalent atoms:
1 Ac 0.0196 0.2500 0.3722 (multiplicity 2)
2 Ac 0.1587 0.2500 0.0852 (multiplicity 2)
3 Ac 0.4718 0.7500 0.7113 (multiplicity 2)
4 Al 0.1465 0.2500 0.8169 (multiplicity 2)
5 Al 0.3649 0.7500 0.4590 (multiplicity 2)
6 Al 0.4920 0.2500 0.9283 (multiplicity 2)
7 Ir 0.2137 0.7500 0.2518 (multiplicity 2)
8 Ir 0.2854 0.7500 0.9090 (multiplicity 2)
9 Ir 0.2875 0.2500 0.5596 (multiplicity 2)

Output
E_tot = -6.304 eV/atom
mass density = 10.70 Mg/m³
crystal system = monoclinic
calculated formation energy = -2.20 eV per formula unit

Record 12
Er3PPb2: relaxed, PBE.

Cell lengths 7.0551, 12.0436, 8.0539 Å; angles 90.00, 106.57, 90.00 degrees
Space group C2/m (No. 12)
One atom of each set of equivalent atoms:
1 Er 0.2043 0.0000 0.2017 (multiplicity 4)
2 Er 0.2455 0.1804 0.7839 (multiplicity 8)
3 P 0.0000 0.1705 0.0000 (multiplicity 4)
4 Pb 0.0000 0.0000 0.5000 (multiplicity 2)
5 Pb 0.0000 0.3570 0.5000 (multiplicity 4)
6 Pb 0.0000 0.5000 0.0000 (multiplicity 2)

Output
E_tot = -5.193 eV/atom
mass density = 9.59 Mg/m³
crystal system = monoclinic
calculated formation energy = -4.64 eV per formula unit

Record 13
RbHfIn: relaxed, PBE.

Cell lengths 5.6285, 5.6285, 6.3103 Å; angles 90.00, 90.00, 120.00 degrees
Space group P6_3/mmc (No. 194)
One atom of each set of equivalent atoms:
1 Rb 0.0000 0.0000 0.0000 (multiplicity 2)
2 Hf 0.3333 0.6667 0.2500 (multiplicity 2)
3 In 0.3333 0.6667 0.7500 (multiplicity 2)

Output
E_tot = -3.816 eV/atom
mass density = 7.27 Mg/m³
crystal system = hexagonal
calculated formation energy = 2.21 eV per formula unit

Record 14
La3PrRu: relaxed, PBE.

Cell lengths 7.4245, 8.7791, 10.1659 Å; angles 90.00, 101.09, 90.00 degrees
Space group P2_1/c (No. 14)
One atom of each set of equivalent atoms:
1 La 0.0794 0.1492 0.4273 (multiplicity 4)
2 La 0.2039 0.0034 0.1376 (multiplicity 4)
3 La 0.3948 0.6890 0.9773 (multiplicity 4)
4 Pr 0.2864 0.0435 0.7737 (multiplicity 4)
5 Ru 0.0654 0.7276 0.3550 (multiplicity 4)

Output
E_tot = -5.886 eV/atom
mass density = 6.73 Mg/m³
crystal system = monoclinic
calculated formation energy = -0.59 eV per formula unit

Record 15
SrYNi2: relaxed, PBE.

Cell lengths 3.4123, 3.4123, 7.9595 Å; angles 90.00, 90.00, 90.00 degrees
Space group P4mm (No. 99)
One atom of each set of equivalent atoms:
1 Sr 0.0000 0.0000 0.0000 (multiplicity 1)
2 Y 0.5000 0.5000 0.4246 (multiplicity 1)
3 Ni 0.0000 0.0000 0.6286 (multiplicity 1)
4 Ni 0.5000 0.5000 0.7404 (multiplicity 1)

Output
E_tot = -4.827 eV/atom
mass density = 5.27 Mg/m³
crystal system = tetragonal
calculated formation energy = 0.40 eV per formula unit

Record 16
CaTbLuMg: relaxed, PBE.

Cell lengths 7.8778, 7.8778, 7.8778 Å; angles 90.00, 90.00, 90.00 degrees
Space group F-43m (No. 216)
One atom of each set of equivalent atoms:
1 Ca 0.0000 0.0000 0.0000 (multiplicity 4)
2 Tb 0.0000 0.0000 0.5000 (multiplicity 4)
3 Lu 0.2500 0.2500 0.2500 (multiplicity 4)
4 Mg 0.2500 0.2500 0.7500 (multiplicity 4)

Output
E_tot = -3.103 eV/atom
mass density = 5.41 Mg/m³
crystal system = cubic
calculated formation energy = 0.34 eV per formula unit

Record 17
YFeTc2: relaxed, PBE.

Cell lengths 9.6209, 3.0217, 4.8902 Å; angles 90.00, 108.15, 90.00 degrees
Space group C2/m (No. 12)
One atom of each set of equivalent atoms:
1 Y 0.0000 0.0000 0.0000 (multiplicity 2)
2 Fe 0.0000 0.5000 0.5000 (multiplicity 2)
3 Tc 0.2196 0.0000 0.6875 (multiplicity 4)

Output
E_tot = -8.652 eV/atom
mass density = 8.38 Mg/m³
crystal system = monoclinic
calculated formation energy = 1.05 eV per formula unit

Record 18
Nb2ReAu: relaxed, PBE.

Cell lengths 6.5260, 6.5260, 6.5260 Å; angles 90.00, 90.00, 90.00 degrees
Space group Fm-3m (No. 225)
One atom of each set of equivalent atoms:
1 Nb 0.2500 0.2500 0.2500 (multiplicity 8)
2 Re 0.0000 0.0000 0.0000 (multiplicity 4)
3 Au 0.0000 0.0000 0.5000 (multiplicity 4)

Output
E_tot = -8.911 eV/atom
mass density = 13.60 Mg/m³
crystal system = cubic
calculated formation energy = 0.22 eV per formula unit

Record 19
SiNi2As: relaxed, PBE.

Cell lengths 5.6811, 5.6811, 8.4539 Å; angles 90.00, 90.00, 90.00 degrees
Space group I-42d (No. 122)
One atom of each set of equivalent atoms:
1 Si 0.0000 0.0000 0.0000 (multiplicity 4)
2 Ni 0.2435 0.2500 0.1250 (multiplicity 8)
3 As 0.0000 0.0000 0.5000 (multiplicity 4)

Output
E_tot = -5.279 eV/atom
mass density = 5.37 Mg/m³
crystal system = tetragonal
formation energy (no corrections) = 50 kJ/mol of formula units

Record 20
BaAuN: relaxed, PBE.

Cell lengths 4.0469, 5.8292, 5.9301 Å; angles 90.00, 90.21, 90.00 degrees
Space group P2_1/m (No. 11)
One atom of each set of equivalent atoms:
1 Ba 0.0016 0.2500 0.2569 (multiplicity 2)
2 Au 0.4984 0.2500 0.7839 (multiplicity 2)
3 N 0.0022 0.7500 0.2836 (multiplicity 2)

Output
E_tot = -4.755 eV/atom
mass density = 8.27 Mg/m³
crystal system = monoclinic
formation energy (no corrections) = -71 kJ/mol of formula units

Record 21
Cs2SrBr3Cl: relaxed, PBE.

Cell lengths 5.6932, 5.9845, 18.4986 Å; angles 90.00, 90.00, 90.00 degrees
Space group Immm (No. 71)
One atom of each set of equivalent atoms:
1 Cs 0.0000 0.0000 0.1421 (multiplicity 4)
2 Sr 0.0000 0.0000 0.5000 (multiplicity 2)
3 Br 0.0000 0.0000 0.3356 (multiplicity 4)
4 Br 0.0000 0.5000 0.5000 (multiplicity 2)
5 Cl 0.0000 0.5000 0.0000 (multiplicity 2)

Output
E_tot = -3.477 eV/atom
mass density = 3.31 Mg/m³
crystal system = orthorhombic
formation energy (no corrections) = -1359 kJ/mol of formula units

Record 22
YWN3: relaxed, PBE.

Cell lengths 6.4324, 3.1497, 6.5450 Å; angles 90.00, 102.97, 90.00 degrees
Space group P2_1 (No. 4)
One atom of each set of equivalent atoms:
1 Y 0.1835 0.0000 0.2634 (multiplicity 2)
2 W 0.3236 0.6044 0.8098 (multiplicity 2)
3 N 0.1217 0.0086 0.8645 (multiplicity 2)
4 N 0.2410 0.5092 0.5295 (multiplicity 2)
5 N 0.4375 0.4953 0.1584 (multiplicity 2)

Output
E_tot = -9.739 eV/atom
mass density = 8.09 Mg/m³
crystal system = monoclinic
formation energy (no corrections) = -415 kJ/mol of formula units

Record 23
La3Pu2Co4: relaxed, PBE.

Cell lengths 11.2966, 4.0356, 8.8540 Å; angles 90.00, 102.50, 90.00 degrees
Space group C2/m (No. 12)
One atom of each set of equivalent atoms:
1 La 0.0000 0.0000 0.0000 (multiplicity 2)
2 La 0.1219 0.5000 0.3876 (multiplicity 4)
3 Pu 0.1817 0.5000 0.7848 (multiplicity 4)
4 Co 0.0812 0.0000 0.6423 (multiplicity 4)
5 Co 0.2161 0.5000 0.0855 (multiplicity 4)

Output
E_tot = -8.075 eV/atom
mass density = 9.61 Mg/m³
crystal system = monoclinic
calculated formation energy = -0.81 eV per formula unit

Record 24
CsYCu3: relaxed, PBE.

Cell lengths 5.5057, 5.5057, 5.5057 Å; angles 90.00, 90.00, 90.00 degrees
Space group Pm-3m (No. 221)
One atom of each set of equivalent atoms:
1 Cs 0.0000 0.0000 0.0000 (multiplicity 1)
2 Y 0.5000 0.5000 0.5000 (multiplicity 1)
3 Cu 0.0000 0.5000 0.5000 (multiplicity 3)

Output
E_tot = -3.241 eV/atom
mass density = 4.10 Mg/m³
crystal system = cubic
calculated formation energy = 3.40 eV per formula unit

Record 25
In2IrBr: relaxed, PBE.

Cell lengths 3.6226, 3.6226, 24.4308 Å; angles 90.00, 90.00, 120.00 degrees
Space group R-3m (No. 166, hexagonal axes)
One atom of each set of equivalent atoms:
1 In 0.0000 0.0000 0.2373 (multiplicity 6)
2 Ir 0.0000 0.0000 0.5000 (multiplicity 3)
3 Br 0.0000 0.0000 0.0000 (multiplicity 3)

Output
E_tot = -4.047 eV/atom
mass density = 9.00 Mg/m³
crystal system = trigonal
formation energy (no corrections) = -17 kJ/mol of formula units

Record 26
Ca3PrEr2Te6: relaxed, PBE.

Cell lengths 19.4932, 4.4024, 8.9645 Å; angles 90.00, 104.48, 90.00 degrees
Space group C2/m (No. 12)
One atom of each set of equivalent atoms:
1 Ca 0.0000 0.0000 0.0000 (multiplicity 2)
2 Ca 0.1632 0.5000 0.3310 (multiplicity 4)
3 Pr 0.0000 0.0000 0.5000 (multiplicity 2)
4 Er 0.1627 0.5000 0.8242 (multiplicity 4)
5 Te 0.0020 0.5000 0.7592 (multiplicity 4)
6 Te 0.1708 0.0000 0.0747 (multiplicity 4)
7 Te 0.1707 0.0000 0.5890 (multiplicity 4)

Output
E_tot = -4.686 eV/atom
mass density = 6.07 Mg/m³
crystal system = monoclinic
formation energy (no corrections) = -1686 kJ/mol of formula units